Here is an optimized crystal structure of Ho6ErTh2 from Alexandria via LeMat-Bulk. Energies are from GGA-PBE.

Lattice parameters (Å, degrees): 3.5118 3.5118 36.4852 90.00 90.00 120.00
Fractional positions:
Ho: 0.0000 0.0000 0.0781
Ho: 0.0000 0.0000 0.9219
Ho: 0.6667 0.3333 0.1546
Ho: 0.6667 0.3333 0.2464
Ho: 0.6667 0.3333 0.7536
Ho: 0.6667 0.3333 0.8454
Er: 0.6667 0.3333 0.0000
Th: 0.0000 0.0000 0.3219
Th: 0.0000 0.0000 0.6781

## Properties
Formation energy from the elements: 0.22 eV per atom
Polymorph energy (0 for the lowest one): 3.4 kJ/mol of atoms
Space group: P-6m2 (187)